First-principles (PBE-GGA) data for Hf4Zr8Sc after structural relaxation, as listed in Alexandria.

Structure (CIF):
```
data_Hf4Zr8Sc
_cell_length_a 6.3532
_cell_length_b 6.3532
_cell_length_c 26.1920
_cell_angle_alpha 90.00
_cell_angle_beta 90.00
_cell_angle_gamma 120.00
_space_group_name_H-M_alt 'R -3 m'
_space_group_IT_number 166
_space_group_name_Hall '-R 3 2"'
loop_
_atom_site_label
_atom_site_type_symbol
_atom_site_fract_x
_atom_site_fract_y
_atom_site_fract_z
_atom_site_occupancy
Hf1 Hf 0.0000 0.0000 0.0000 1
Hf2 Hf 0.0000 0.5000 0.0000 1
Zr1 Zr 0.0000 0.0000 0.2063 1
Zr2 Zr 0.0207 0.5103 0.7620 1
Sc1 Sc 0.0000 0.0000 0.5000 1
```



# PBE-GGA HfZr6Sc2, relaxed
data_HfZr6Sc2
_cell_length_a 16.864
_cell_length_b 3.223
_cell_length_c 7.950
_cell_angle_alpha 90.00
_cell_angle_beta 103.63
_cell_angle_gamma 90.00
_space_group_name_H-M_alt 'C 1 2/m 1'
_space_group_IT_number 12
loop_
_space_group_symop_operation_xyz
'x,y,z'
'-x,-y,-z'
'-x,y,-z'
'x,-y,z'
'x+1/2,y+1/2,z'
'-x+1/2,-y+1/2,-z'
'-x+1/2,y+1/2,-z'
'x+1/2,-y+1/2,z'
loop_
_atom_site_label
_atom_site_type_symbol
_atom_site_fract_x
_atom_site_fract_y
_atom_site_fract_z
_atom_site_occupancy
Hf1 Hf 0.000 0.000 0.000 1
Zr1 Zr 0.074 0.000 0.666 1
Zr2 Zr 0.164 0.500 0.998 1
Zr3 Zr 0.240 0.500 0.670 1
Sc1 Sc 0.093 0.500 0.329 1
# Offset from the most stable computed form   0 meV/atom



# PBE-GGA Hf2ZrSc, relaxed
data_Hf2ZrSc
_cell_length_a 4.505
_cell_length_b 4.491
_cell_length_c 9.036
_cell_angle_alpha 90.00
_cell_angle_beta 90.09
_cell_angle_gamma 90.00
_space_group_name_H-M_alt 'P 1 21/m 1'
_space_group_IT_number 11
loop_
_space_group_symop_operation_xyz
'x,y,z'
'-x,-y,-z'
'-x,y+1/2,-z'
'x,-y+1/2,z'
loop_
_atom_site_label
_atom_site_type_symbol
_atom_site_fract_x
_atom_site_fract_y
_atom_site_fract_z
_atom_site_occupancy
Hf1 Hf 0.000 0.250 0.121 1
Hf2 Hf 0.500 0.250 0.879 1
Zr1 Zr 0.000 0.250 0.632 1
Sc1 Sc 0.500 0.250 0.371 1
# Offset from the most stable computed form   53 meV/atom



First-principles (PBE-GGA) data for Hf12ZrSc2 after structural relaxation, as listed in Alexandria.

Structure (CIF):
```
data_Hf12ZrSc2
_cell_length_a 3.139
_cell_length_b 5.124
_cell_length_c 21.847
_cell_angle_alpha 90.00
_cell_angle_beta 90.00
_cell_angle_gamma 90.00
_space_group_name_H-M_alt 'P m m m'
_space_group_IT_number 47
loop_
_space_group_symop_operation_xyz
'x,y,z'
'-x,-y,-z'
'-x,-y,z'
'x,y,-z'
'x,-y,-z'
'-x,y,z'
'-x,y,-z'
'x,-y,z'
loop_
_atom_site_label
_atom_site_type_symbol
_atom_site_fract_x
_atom_site_fract_y
_atom_site_fract_z
_atom_site_occupancy
Hf1 Hf 0.000 0.000 0.064 1
Hf2 Hf 0.000 0.000 0.423 1
Hf3 Hf 0.500 0.000 0.174 1
Hf4 Hf 0.500 0.000 0.303 1
Hf5 Hf 0.500 0.500 0.081 1
Hf6 Hf 0.500 0.500 0.373 1
Zr1 Zr 0.000 0.500 0.500 1
Sc1 Sc 0.000 0.500 0.232 1
```



First-principles (PBE-GGA) data for Hf2Zr9Sc4 after structural relaxation, as listed in Alexandria.

Structure (CIF):
```
data_Hf2Zr9Sc4
_cell_length_a 8.466
_cell_length_b 8.482
_cell_length_c 11.085
_cell_angle_alpha 90.17
_cell_angle_beta 109.01
_cell_angle_gamma 110.84
_space_group_name_H-M_alt 'P -1'
_space_group_IT_number 2
loop_
_space_group_symop_operation_xyz
'x,y,z'
'-x,-y,-z'
loop_
_atom_site_label
_atom_site_type_symbol
_atom_site_fract_x
_atom_site_fract_y
_atom_site_fract_z
_atom_site_occupancy
Hf1 Hf 0.100 0.001 0.150 1
Hf2 Hf 0.301 0.001 0.449 1
Zr1 Zr 0.028 0.329 0.716 1
Zr2 Zr 0.098 0.001 0.649 1
Zr3 Zr 0.165 0.671 0.084 1
Zr4 Zr 0.168 0.668 0.581 1
Zr5 Zr 0.226 0.326 0.017 1
Zr6 Zr 0.295 0.999 0.951 1
Zr7 Zr 0.366 0.673 0.384 1
Zr8 Zr 0.433 0.327 0.316 1
Zr9 Zr 0.498 0.999 0.253 1
Sc1 Sc 0.033 0.332 0.216 1
Sc2 Sc 0.232 0.332 0.516 1
Sc3 Sc 0.368 0.669 0.884 1
Sc4 Sc 0.431 0.331 0.816 1
```



# PBE-GGA Hf3Zr2Sc2, relaxed
data_Hf3Zr2Sc2
_cell_length_a 8.726
_cell_length_b 8.726
_cell_length_c 8.726
_cell_angle_alpha 90.00
_cell_angle_beta 90.00
_cell_angle_gamma 90.00
_space_group_name_H-M_alt 'I 21 3'
_space_group_IT_number 199
_space_group_name_Hall 'I 2b 2c 3'
loop_
_atom_site_label
_atom_site_type_symbol
_atom_site_fract_x
_atom_site_fract_y
_atom_site_fract_z
_atom_site_occupancy
Hf1 Hf 0.000 0.250 0.990 1
Zr1 Zr 0.079 0.421 0.579 1
Sc1 Sc 0.241 0.241 0.241 1
# Offset from the most stable computed form   281 meV/atom



# PBE-GGA Hf2ZrSc6, relaxed
data_Hf2ZrSc6
_cell_length_a 15.592
_cell_length_b 3.118
_cell_length_c 10.780
_cell_angle_alpha 90.00
_cell_angle_beta 125.66
_cell_angle_gamma 90.00
_space_group_name_H-M_alt 'C 1 2/m 1'
_space_group_IT_number 12
loop_
_space_group_symop_operation_xyz
'x,y,z'
'-x,-y,-z'
'-x,y,-z'
'x,-y,z'
'x+1/2,y+1/2,z'
'-x+1/2,-y+1/2,-z'
'-x+1/2,y+1/2,-z'
'x+1/2,-y+1/2,z'
loop_
_atom_site_label
_atom_site_type_symbol
_atom_site_fract_x
_atom_site_fract_y
_atom_site_fract_z
_atom_site_occupancy
Hf1 Hf 0.174 0.000 0.327 1
Zr1 Zr 0.000 0.500 0.000 1
Sc1 Sc 0.045 0.500 0.754 1
Sc2 Sc 0.115 0.000 0.556 1
Sc3 Sc 0.225 0.500 0.114 1
# Offset from the most stable computed form   95 meV/atom



# PBE-GGA Hf2Zr4Sc3, relaxed
data_Hf2Zr4Sc3
_cell_length_a 6.327
_cell_length_b 7.867
_cell_length_c 9.312
_cell_angle_alpha 76.45
_cell_angle_beta 70.22
_cell_angle_gamma 78.27
_space_group_name_H-M_alt 'P -1'
_space_group_IT_number 2
loop_
_space_group_symop_operation_xyz
'x,y,z'
'-x,-y,-z'
loop_
_atom_site_label
_atom_site_type_symbol
_atom_site_fract_x
_atom_site_fract_y
_atom_site_fract_z
_atom_site_occupancy
Hf1 Hf 0.014 0.173 0.392 1
Hf2 Hf 0.297 0.470 0.156 1
Zr1 Zr 0.216 0.520 0.831 1
Zr2 Zr 0.322 0.829 0.951 1
Zr3 Zr 0.401 0.868 0.274 1
Zr4 Zr 0.479 0.827 0.606 1
Sc1 Sc 0.086 0.166 0.722 1
Sc2 Sc 0.169 0.170 0.052 1
Sc3 Sc 0.257 0.517 0.477 1
# Offset from the most stable computed form   0 meV/atom



# PBE-GGA HfZrSc6, relaxed
data_HfZrSc6
_cell_length_a 5.066
_cell_length_b 9.794
_cell_length_c 7.687
_cell_angle_alpha 90.00
_cell_angle_beta 90.00
_cell_angle_gamma 90.00
_space_group_name_H-M_alt 'A m m 2'
_space_group_IT_number 38
loop_
_space_group_symop_operation_xyz
'x,y,z'
'-x,-y,z'
'-x,y,z'
'x,-y,z'
'x,y+1/2,z+1/2'
'-x,-y+1/2,z+1/2'
'-x,y+1/2,z+1/2'
'x,-y+1/2,z+1/2'
loop_
_atom_site_label
_atom_site_type_symbol
_atom_site_fract_x
_atom_site_fract_y
_atom_site_fract_z
_atom_site_occupancy
Hf1 Hf 0.000 0.000 0.000 1
Zr1 Zr 0.000 0.000 0.413 1
Sc1 Sc 0.000 0.222 0.711 1
Sc2 Sc 0.500 0.000 0.164 1
Sc3 Sc 0.500 0.000 0.736 1
Sc4 Sc 0.500 0.228 0.447 1
# Offset from the most stable computed form   0 meV/atom



# PBE-GGA HfZr2Sc4, relaxed
data_HfZr2Sc4
_cell_length_a 3.232
_cell_length_b 20.308
_cell_length_c 10.815
_cell_angle_alpha 90.00
_cell_angle_beta 107.39
_cell_angle_gamma 90.00
_space_group_name_H-M_alt 'P 1 21/c 1'
_space_group_IT_number 14
loop_
_space_group_symop_operation_xyz
'x,y,z'
'-x,-y,-z'
'-x,y+1/2,-z+1/2'
'x,-y+1/2,z+1/2'
loop_
_atom_site_label
_atom_site_type_symbol
_atom_site_fract_x
_atom_site_fract_y
_atom_site_fract_z
_atom_site_occupancy
Hf1 Hf 0.150 0.138 0.150 1
Zr1 Zr 0.000 0.000 0.000 1
Zr2 Zr 0.330 0.739 0.831 1
Zr3 Zr 0.500 0.000 0.500 1
Sc1 Sc 0.056 0.652 0.057 1
Sc2 Sc 0.242 0.528 0.242 1
Sc3 Sc 0.273 0.602 0.774 1
Sc4 Sc 0.415 0.199 0.914 1
# Offset from the most stable computed form   0 meV/atom



First-principles (PBE-GGA) data for HfZr4Sc9 after structural relaxation, as listed in Alexandria.

Structure (CIF):
```
data_HfZr4Sc9
_cell_length_a 8.8761
_cell_length_b 8.8761
_cell_length_c 10.0138
_cell_angle_alpha 90.00
_cell_angle_beta 90.00
_cell_angle_gamma 120.00
_space_group_name_H-M_alt 'P 63/m m c'
_space_group_IT_number 194
_space_group_name_Hall '-P 6c 2c'
loop_
_atom_site_label
_atom_site_type_symbol
_atom_site_fract_x
_atom_site_fract_y
_atom_site_fract_z
_atom_site_occupancy
Hf1 Hf 0.3333 0.6667 0.2500 1
Zr1 Zr 0.0000 0.0000 0.0000 1
Zr2 Zr 0.1139 0.2278 0.7500 1
Sc1 Sc 0.0792 0.5396 0.7500 1
Sc2 Sc 0.2052 0.4103 0.0343 1
```



# PBE-GGA Hf2Zr4Sc5, relaxed
data_Hf2Zr4Sc5
_cell_length_a 15.290
_cell_length_b 3.177
_cell_length_c 12.533
_cell_angle_alpha 90.00
_cell_angle_beta 122.95
_cell_angle_gamma 90.00
_space_group_name_H-M_alt 'C 1 2/m 1'
_space_group_IT_number 12
loop_
_space_group_symop_operation_xyz
'x,y,z'
'-x,-y,-z'
'-x,y,-z'
'x,-y,z'
'x+1/2,y+1/2,z'
'-x+1/2,-y+1/2,-z'
'-x+1/2,y+1/2,-z'
'x+1/2,-y+1/2,z'
loop_
_atom_site_label
_atom_site_type_symbol
_atom_site_fract_x
_atom_site_fract_y
_atom_site_fract_z
_atom_site_occupancy
Hf1 Hf 0.219 0.000 0.187 1
Zr1 Zr 0.143 0.000 0.902 1
Zr2 Zr 0.178 0.000 0.544 1
Sc1 Sc 0.000 0.500 0.000 1
Sc2 Sc 0.049 0.500 0.637 1
Sc3 Sc 0.089 0.500 0.277 1
# Offset from the most stable computed form   0 meV/atom



no.,formation enthalpy at 0 K (kJ per mole of atoms),Fermi-level density of states (states/eV/f.u.),volume (Å³/atom)
1,28.41,17.4,23.5
2,1.53,11.9,23.3
3,4.00,5.8,22.9
4,19.49,19.3,23.4
5,3.05,22.4,23.2
6,31.25,7.4,23.7
7,12.06,16.7,23.7
8,4.88,10.8,23.3
9,10.78,15.2,23.8
10,15.45,9.4,24.2
11,17.29,26.3,24.4
12,3.82,15.9,23.2